Mn3SbP4O16: relaxed, PBE+U.

Calculated values
The calculation puts the energy at -7.247 eV per atom. The calculation puts the energy above the most stable polymorph in this dataset at 0 meV per atom. The space group is No. 8.

abc: 7.948 7.948 11.061
angles: 105.51 105.51 101.76
Element x y z (fractional)
Mn1 0.000 0.000 0.000
Mn2 0.396 0.897 0.436
Mn3 0.467 0.970 0.930
Mn4 0.519 0.519 0.006
Mn5 0.897 0.396 0.436
Mn6 0.970 0.467 0.930
Sb1 0.432 0.432 0.507
Sb2 0.946 0.946 0.505
P1 0.050 0.050 0.303
P2 0.179 0.179 0.821
P3 0.218 0.739 0.632
P4 0.313 0.813 0.111
P5 0.577 0.577 0.321
P6 0.681 0.681 0.822
P7 0.739 0.218 0.632
P8 0.813 0.313 0.111
O1 0.012 0.751 0.573
O2 0.034 0.034 0.836
O3 0.109 0.918 0.386
O4 0.140 0.140 0.664
O5 0.152 0.647 0.088
O6 0.178 0.378 0.885
O7 0.188 0.535 0.553
O8 0.209 0.209 0.325
O9 0.251 0.950 0.044
O10 0.270 0.777 0.783
O11 0.355 0.871 0.603
O12 0.378 0.178 0.885
O13 0.411 0.908 0.261
O14 0.438 0.632 0.389
O15 0.450 0.753 0.040
O16 0.491 0.491 0.170
O17 0.535 0.188 0.553
O18 0.535 0.535 0.839
O19 0.632 0.438 0.389
O20 0.643 0.643 0.671
O21 0.647 0.152 0.088
O22 0.679 0.879 0.890
O23 0.745 0.745 0.353
O24 0.751 0.012 0.573
O25 0.753 0.450 0.040
O26 0.777 0.270 0.783
O27 0.871 0.355 0.603
O28 0.879 0.679 0.890
O29 0.908 0.411 0.261
O30 0.918 0.109 0.386
O31 0.944 0.944 0.156
O32 0.950 0.251 0.044